## SrTbO3 (GGA-PBE)

Data for SrTbO3 after structural relaxation.

a b c (Å): 5.979 6.167 8.507
angles (deg): 90.00 90.00 90.00
Positions (direct):
O  0.701  0.296  0.060
O  0.799  0.796  0.060
O  0.112  0.450  0.250
O  0.388  0.950  0.250
O  0.701  0.296  0.440
O  0.799  0.796  0.440
O  0.201  0.204  0.560
O  0.299  0.704  0.560
O  0.612  0.050  0.750
O  0.888  0.550  0.750
O  0.201  0.204  0.940
O  0.299  0.704  0.940
Sr  0.984  0.051  0.250
Sr  0.516  0.551  0.250
Sr  0.484  0.449  0.750
Sr  0.016  0.949  0.750
Tb  0.500  0.000  0.000
Tb  0.000  0.500  0.000
Tb  0.500  0.000  0.500
Tb  0.000  0.500  0.500

crystal system	orthorhombic
electronic total energy	-6.962	eV/atom

=====

## LiZr (GGA-PBE)

Data for LiZr after structural relaxation.

a b c (Å): 5.256 12.558 4.803
angles (deg): 90.00 90.00 90.00
Positions (direct):
Li  0.984  0.260  0.000
Li  0.537  0.375  0.000
Li  0.984  0.490  0.000
Li  0.489  0.875  0.000
Li  0.845  0.375  0.500
Li  0.349  0.760  0.500
Li  0.797  0.875  0.500
Li  0.349  0.990  0.500
Zr  0.486  0.120  0.000
Zr  0.486  0.630  0.000
Zr  0.976  0.758  0.000
Zr  0.976  0.992  0.000
Zr  0.847  0.130  0.500
Zr  0.358  0.258  0.500
Zr  0.358  0.492  0.500
Zr  0.847  0.620  0.500

E above lowest polymorph	209	meV/atom
crystal system	orthorhombic